Record 1
La2Zn4Si3Au, optimized geometry, DFT PBE; space group = P-4m2 (115); E_form (uncorrected) = -475 meV per atom; E_tot = -3.925 eV/atom; calculated volume = 19.257 A^3/atom
1.0
4.2701 0.0000 0.0000
0.0000 4.2701 0.0000
0.0000 0.0000 10.5608
La Zn Si Au
2 4 3 1
direct
0.5000 0.0000 0.2461 La
0.0000 0.5000 0.7539 La
0.5000 0.5000 0.0000 Zn
0.0000 0.0000 0.0000 Zn
0.5000 0.0000 0.6365 Zn
0.0000 0.5000 0.3635 Zn
0.0000 0.0000 0.5000 Si
0.5000 0.0000 0.8661 Si
0.0000 0.5000 0.1339 Si
0.5000 0.5000 0.5000 Au

Record 2
LaSm2Au3, optimized geometry, DFT PBE; space group = Cmmm (65); E_tot = -4.820 eV/atom; calculated volume = 25.552 A^3/atom
1.0
-3.2674 0.3063 1.6631
-1.2149 -4.8928 -1.4856
3.7574 -0.3725 7.4506
La Sm Au
1 2 3
direct
0.0000 0.0000 0.0000 La
0.0000 0.3334 0.6668 Sm
0.0000 0.6666 0.3332 Sm
0.5000 0.5000 0.0000 Au
0.5000 0.8263 0.6526 Au
0.5000 0.1737 0.3474 Au

Record 3
LaSm2Au6, optimized geometry, DFT PBE; space group = Immm (71); E_tot = -4.524 eV/atom; calculated volume = 24.064 A^3/atom
1.0
3.7683 0.0000 0.0000
1.8841 8.2614 1.3159
1.8841 3.6327 7.5356
La Sm Au
1 2 6
direct
0.5000 0.5000 0.5000 La
0.3585 0.1415 0.1415 Sm
0.6415 0.8585 0.8585 Sm
0.1771 0.5103 0.1355 Au
0.8229 0.4897 0.8645 Au
0.8229 0.8645 0.4897 Au
0.0000 0.1822 0.8178 Au
0.0000 0.8178 0.1822 Au
0.1771 0.1355 0.5103 Au

Record 4
La3SmAu4, optimized geometry, DFT PBE; space group = R-3m (166); E_tot = -4.854 eV/atom; calculated volume = 26.511 A^3/atom
1.0
-2.5115 4.0503 -2.3546
-5.1797 0.7947 0.8917
-0.6218 6.7278 6.2360
Au Sm La
4 1 3
direct
0.8781 0.8781 0.3656 Au
0.3726 0.3726 0.8822 Au
0.1219 0.1219 0.6344 Au
0.6274 0.6274 0.1178 Au
0.0000 0.0000 0.0000 Sm
0.2503 0.2503 0.2492 La
0.7497 0.7497 0.7508 La
0.5000 0.5000 0.5000 La

Record 5
LaSm2Au, optimized geometry, DFT PBE; space group = R3m (160); E_tot = -4.666 eV/atom; calculated volume = 32.629 A^3/atom
1.0
3.8689 0.0000 0.0000
1.9345 3.3506 0.0000
1.9345 1.1169 10.0682
La Sm Au
1 2 1
direct
0.5007 0.5007 0.4979 La
0.0670 0.0670 0.7991 Sm
0.2664 0.2664 0.2009 Sm
0.6660 0.6660 0.0021 Au

Record 6
La2SmAu4, optimized geometry, DFT PBE; space group = I4/mmm (139); E_tot = -4.637 eV/atom; calculated volume = 27.541 A^3/atom
1.0
-0.0942 3.4522 -4.1809
-1.3412 -4.0665 -3.3275
-5.6333 1.4873 4.8718
Au Sm La
4 1 2
direct
0.3852 0.8852 0.7704 Au
0.8852 0.3852 0.7704 Au
0.6148 0.1148 0.2296 Au
0.1148 0.6148 0.2296 Au
0.0000 0.0000 0.0000 Sm
0.7156 0.7156 0.4313 La
0.2844 0.2844 0.5687 La

Record 7
LaSm2Au, optimized geometry, DFT PBE; space group = Pnma (62); E_tot = -4.817 eV/atom; calculated volume = 31.227 A^3/atom
1.0
-1.3270 5.9160 -3.0502
-4.3108 -3.3577 -4.6370
-7.9564 1.4774 6.3270
La Sm Au
4 8 4
direct
0.6328 0.5079 0.2500 La
0.8672 0.0079 0.2500 La
0.3672 0.4921 0.7500 La
0.1328 0.9921 0.7500 La
0.1730 0.6873 0.0528 Sm
0.3270 0.1873 0.4472 Sm
0.8270 0.3127 0.5528 Sm
0.6730 0.8127 0.9472 Sm
0.8270 0.3127 0.9472 Sm
0.6730 0.8127 0.5528 Sm
0.1730 0.6873 0.4472 Sm
0.3270 0.1873 0.0528 Sm
0.0743 0.3916 0.2500 Au
0.4257 0.8916 0.2500 Au
0.9257 0.6084 0.7500 Au
0.5743 0.1084 0.7500 Au

Record 8
La2SmAu2, optimized geometry, DFT PBE; space group = P4/mbm (127); E_tot = -4.883 eV/atom; calculated volume = 28.753 A^3/atom
1.0
-1.9882 2.2987 -2.5867
2.4035 -5.0796 -6.3613
-6.9562 -4.7268 1.1462
La Sm Au
4 2 4
direct
0.5000 0.1659 0.6659 La
0.5000 0.6659 0.8341 La
0.5000 0.8341 0.3341 La
0.5000 0.3341 0.1659 La
0.0000 0.0000 0.0000 Sm
0.0000 0.5000 0.5000 Sm
0.0000 0.3699 0.8699 Au
0.0000 0.8699 0.6301 Au
0.0000 0.6301 0.1301 Au
0.0000 0.1301 0.3699 Au

Record 9
La5SmAu6, optimized geometry, DFT PBE; space group = C2/m (12); E_tot = -4.866 eV/atom; calculated volume = 26.642 A^3/atom
1.0
-3.7330 -1.8087 -3.3640
-2.8140 -4.2963 5.4325
-8.1508 2.9091 3.2228
Au Sm La
6 1 5
direct
0.8377 0.5953 0.3248 Au
0.8377 0.0799 0.3248 Au
0.5000 0.7653 0.0000 Au
0.5000 0.2347 0.0000 Au
0.1623 0.9201 0.6752 Au
0.1623 0.4047 0.6752 Au
0.0000 0.0000 0.0000 Sm
0.6694 0.1694 0.6612 La
0.3350 0.3350 0.3300 La
0.0000 0.5000 0.0000 La
0.6650 0.6650 0.6700 La
0.3306 0.8306 0.3388 La

Record 10
LaSm2Au, optimized geometry, DFT PBE; space group = Cmcm (63); E_tot = -4.803 eV/atom; calculated volume = 30.710 A^3/atom
1.0
5.0704 0.0013 0.0000
-2.5338 6.1463 0.0000
0.0000 0.0000 7.8826
La Sm Au
2 4 2
direct
0.9475 0.8953 0.2500 La
0.0525 0.1047 0.7500 La
0.3561 0.7126 0.5320 Sm
0.6439 0.2874 0.4680 Sm
0.3561 0.7126 0.9680 Sm
0.6439 0.2874 0.0320 Sm
0.7998 0.6000 0.7500 Au
0.2002 0.4000 0.2500 Au

Record 11
La2SmAu6, optimized geometry, DFT PBE; space group = P6/mmm (191); E_tot = -4.592 eV/atom; calculated volume = 24.089 A^3/atom
1.0
3.6506 0.0000 0.0000
0.0000 7.1716 -4.1405
0.0000 0.0000 8.2811
La Sm Au
2 1 6
direct
0.0000 0.3333 0.6667 La
0.0000 0.6667 0.3333 La
0.0000 0.0000 0.0000 Sm
0.5000 0.3321 0.3321 Au
0.5000 0.6679 0.6679 Au
0.5000 0.0000 0.6679 Au
0.5000 0.6679 0.0000 Au
0.5000 0.3321 0.0000 Au
0.5000 0.0000 0.3321 Au

Record 12
La2SmAu, optimized geometry, DFT PBE; space group = R3m (160); E_tot = -4.726 eV/atom; calculated volume = 33.297 A^3/atom
1.0
3.8961 0.0000 0.0000
1.9481 3.3741 0.0000
1.9481 1.1247 10.1314
La Sm Au
2 1 1
direct
0.0709 0.0709 0.7873 La
0.2627 0.2627 0.2118 La
0.4992 0.4992 0.5023 Sm
0.6672 0.6672 0.9985 Au